Density functional theory data (PBE with a Hubbard U) for an optimized crystal structure of KNaVO4.

total magnetic moment: 1.00 μB/cell
symmetry: I-4 (82)
calculated density: 1.88 g/cm3
electronic total energy: -5.90 eV per atom

a b c (Å): 5.9703 5.9703 6.0953
angles (deg): 119.32 119.32 90.00
Last column: nearest neighbours and their distance in Å.
Positions (direct):
K (0.0000, 0.0000, 0.0000)  4 O 2.73
Na (0.5000, 0.5000, 0.0000)  4 O 2.32
V (0.2500, 0.7500, 0.5000)  4 O 1.74
O (0.2315, 0.0594, 0.7335)  1 V 1.74
O (0.3259, 0.7685, 0.2665)  1 V 1.74
O (0.5020, 0.6741, 0.7335)  1 V 1.74
O (0.9406, 0.4980, 0.2665)  1 V 1.74